Computed, not measured: a relaxed TaHg2I crystal at the GGA-PBE level of DFT.

## Properties
N(E_F), states/eV/f.u.: 2.43
Energy, eV/atom: -2.623
Magnetization, μB per formula unit: 2.03
ΔE_f (raw), eV/atom: 0.88

extended XYZ file:
```
8
Lattice="4.262 0.000 0.000 0.000 4.262 0.000 2.131 2.131 11.299" Properties=species:S:1:pos:R:3 pbc="T T T"
I 2.131 2.131 0.000
I 2.131 4.262 5.649
Hg 5.327 5.436 8.474
Hg 0.957 3.196 2.825
Ta 4.262 2.131 5.649
Hg 3.305 1.065 2.825
Ta 0.000 0.000 0.000
Hg 3.196 3.088 8.474
```

---

Computed, not measured: a relaxed SmMgScRu crystal at the GGA-PBE level of DFT.

## Properties
N(E_F), states/eV/f.u.: 3.63
Energy, eV/atom: -5.647
Magnetization, μB per formula unit: 0.00

extended XYZ file:
```
4
Lattice="-4.417 -1.599 1.512 -1.548 -4.518 -1.246 -0.303 -3.537 3.428" Properties=species:S:1:pos:R:3 pbc="T T T"
Mg -1.567 -2.414 0.924
Ru -4.701 -7.241 2.771
Sm -3.134 -4.827 1.847
Sc 0.000 0.000 0.000
```

---

Computed, not measured: a relaxed YBi2S4 crystal at the GGA-PBE level of DFT.

## Properties
N(E_F), states/eV/f.u.: 2.71
Energy, eV/atom: -5.225
Magnetization, μB per formula unit: 0.00
ΔE_f (raw), eV/atom: -0.83

extended XYZ file:
```
14
Lattice="3.886 0.000 0.000 0.000 7.337 0.000 0.000 0.000 12.686" Properties=species:S:1:pos:R:3 pbc="T T T"
Bi 1.943 4.416 4.314
S 1.943 1.872 5.847
Y 0.000 0.000 6.343
S 0.000 6.418 3.710
Bi 1.943 6.589 10.657
S 0.000 0.918 8.975
Y 0.000 3.668 0.000
S 1.943 5.465 6.838
S 0.000 4.587 10.053
Bi 1.943 2.921 8.372
Bi 1.943 0.748 2.029
S 1.943 1.796 12.190
S 0.000 2.750 2.632
S 1.943 5.540 0.495
```

---

Computed, not measured: a relaxed CaTmAl2Ga2 crystal at the GGA-PBE level of DFT.

## Properties
N(E_F), states/eV/f.u.: 1.63
Energy, eV/atom: -3.789
Magnetization, μB per formula unit: 0.00

extended XYZ file:
```
6
Lattice="4.374 0.000 0.000 -2.187 3.788 0.000 0.000 0.000 7.880" Properties=species:S:1:pos:R:3 pbc="T T T"
Ga 0.000 2.525 2.133
Ga 2.187 1.263 5.747
Tm 0.000 0.000 3.940
Ca 0.000 0.000 0.000
Al 2.187 1.263 2.109
Al 0.000 2.525 5.771
```

---

Computed, not measured: a relaxed TlHg2BiPd crystal at the GGA-PBE level of DFT.

## Properties
N(E_F), states/eV/f.u.: 3.78
Energy, eV/atom: -2.371
Magnetization, μB per formula unit: 0.00

extended XYZ file:
```
5
Lattice="-5.114 -1.308 -0.417 1.168 -4.991 1.325 -0.734 1.209 5.205" Properties=species:S:1:pos:R:3 pbc="T T T"
Pd 0.000 0.000 0.000
Hg -2.557 -0.654 -0.209
Tl -2.339 -2.545 3.056
Hg 0.584 -2.496 0.662
Bi -0.367 0.605 2.602
```

---

Computed, not measured: a relaxed InTcPt crystal at the GGA-PBE level of DFT.

## Properties
N(E_F), states/eV/f.u.: 2.70
Energy, eV/atom: -6.179
Magnetization, μB per formula unit: 1.99

extended XYZ file:
```
3
Lattice="4.396 0.000 0.000 2.198 3.807 0.000 2.198 1.269 3.589" Properties=species:S:1:pos:R:3 pbc="T T T"
Pt 2.198 1.269 0.897
Tc 0.000 0.000 0.000
In 4.396 2.538 1.795
```

---

Computed, not measured: a relaxed MoPRh3 crystal at the GGA-PBE level of DFT.

## Properties
N(E_F), states/eV/f.u.: 3.71
Energy, eV/atom: -7.304
Magnetization, μB per formula unit: 3.84

extended XYZ file:
```
5
Lattice="-0.116 3.877 2.004 -0.902 -1.983 3.784 4.270 -0.313 0.854" Properties=species:S:1:pos:R:3 pbc="T T T"
Rh -0.451 -0.991 1.892
Mo 1.626 0.791 3.321
P 0.000 0.000 0.000
Rh 2.135 -0.156 0.427
Rh -0.058 1.939 1.002
```

---

Computed, not measured: a relaxed Tb2MgV crystal at the GGA-PBE level of DFT.

## Properties
N(E_F), states/eV/f.u.: 2.83
Energy, eV/atom: -4.863
Magnetization, μB per formula unit: 2.95

extended XYZ file:
```
4
Lattice="3.623 0.000 0.000 0.000 3.623 0.000 0.000 0.000 7.814" Properties=species:S:1:pos:R:3 pbc="T T T"
Tb 0.000 0.000 1.723
Mg 1.812 1.812 3.907
Tb 0.000 0.000 6.091
V 1.812 1.812 0.000
```

---

Computed, not measured: a relaxed FeGe3Te crystal at the GGA-PBE level of DFT.

## Properties
N(E_F), states/eV/f.u.: 0.34
Energy, eV/atom: -5.007
Magnetization, μB per formula unit: 0.00
ΔE_f (raw), eV/atom: 0.08

extended XYZ file:
```
5
Lattice="-1.532 -4.020 2.079 0.969 -2.436 -3.994 4.420 -0.859 1.596" Properties=species:S:1:pos:R:3 pbc="T T T"
Ge -0.766 -2.010 1.040
Fe 0.000 0.000 0.000
Te 1.929 -3.657 -0.159
Ge 2.210 -0.430 0.798
Ge 0.485 -1.218 -1.997
```

---

Computed, not measured: a relaxed Pm6NdSmSc2 crystal at the GGA-PBE level of DFT.

## Properties
N(E_F), states/eV/f.u.: 15.46
Energy, eV/atom: -4.944
Magnetization, μB per formula unit: 0.00

extended XYZ file:
```
20
Lattice="-2.349 2.524 -8.984 6.206 -5.657 -2.510 -7.896 -3.337 1.829" Properties=species:S:1:pos:R:3 pbc="T T T"
Sc -1.650 -5.772 -4.760
Pm -5.479 -2.990 0.633
Pm 2.927 -2.773 -2.983
Pm 2.585 -3.249 -6.702
Pm 0.174 -5.295 -1.921
Sc -2.389 -0.698 -4.906
Pm -6.966 -3.697 -6.683
Pm 1.877 -6.221 -4.551
Sm 5.158 -4.951 -4.615
Pm -4.213 -1.175 -7.745
Sc 0.149 -2.184 -0.833
Pm -6.624 -3.221 -2.964
Pm -3.918 -3.553 -5.515
Pm 1.440 -3.480 -10.299
Sc -4.188 -4.286 -8.832
Nd -1.260 -2.826 -7.493
Sm -9.197 -1.519 -5.051
Nd -2.779 -3.644 -2.173
Pm -0.121 -2.918 -4.151
Pm -5.916 -0.249 -5.115
```

---

Computed, not measured: a relaxed NaGa4Cu crystal at the GGA-PBE level of DFT.

## Properties
N(E_F), states/eV/f.u.: 1.17
Energy, eV/atom: -3.031
Magnetization, μB per formula unit: 0.00

extended XYZ file:
```
12
Lattice="-2.079 -0.384 3.556 -1.595 -6.550 -1.640 7.391 -2.219 1.676" Properties=species:S:1:pos:R:3 pbc="T T T"
Cu 1.685 -6.006 0.336
Ga -1.837 -3.467 0.958
Na 1.211 -2.249 0.465
Ga -0.385 -5.220 -0.789
Ga -0.243 -7.273 1.478
Ga 0.387 -4.688 2.126
Ga 4.102 -3.933 4.380
Ga 3.330 -4.465 1.465
Ga 3.960 -1.880 2.112
Ga -1.040 -0.192 1.778
Cu 2.032 -3.147 3.255
Na 2.506 -6.905 3.125
```

---

Computed, not measured: a relaxed CaInFe2 crystal at the GGA-PBE level of DFT.

## Properties
N(E_F), states/eV/f.u.: 4.54
Energy, eV/atom: -5.026
Magnetization, μB per formula unit: 5.03

extended XYZ file:
```
4
Lattice="5.083 -0.003 0.000 1.512 4.853 0.000 -3.298 -2.425 3.014" Properties=species:S:1:pos:R:3 pbc="T T T"
Fe 0.756 2.427 1.507
Ca 2.542 -0.001 1.507
Fe 0.000 0.000 0.000
In 3.298 2.425 0.000
```